1.
{
  "formula": "Nb2AlMo6",
  "functional": "PBE",
  "state": "optimized geometry",
  "cell": [[4.410, -0.286, -0.978], [-0.193, 4.741, -2.260], [-0.740, 0.137, 7.123]],
  "species": ["Nb", "Nb", "Mo", "Mo", "Mo", "Mo", "Mo", "Mo", "Al"],
  "fractional_positions": [[0.113, 0.657, 0.227], [0.887, 0.343, 0.773], [0.664, 0.005, 0.328], [0.556, 0.336, 0.112], [0.336, 0.995, 0.672], [0.225, 0.326, 0.450], [0.444, 0.664, 0.888], [0.775, 0.674, 0.550], [0.000, 0.000, 0.000]],
  "dos_at_fermi_per_ev_cell": 8.3,
  "formation_enthalpy_0k_mev_per_atom": -77
}

2.
{
  "formula": "Nb2Al2Mo",
  "functional": "PBE",
  "state": "optimized geometry",
  "cell": [[6.858, 0.000, 0.000], [0.000, 6.858, 0.000], [0.000, 0.000, 3.538]],
  "species": ["Nb", "Nb", "Nb", "Nb", "Mo", "Mo", "Al", "Al", "Al", "Al"],
  "fractional_positions": [[0.827, 0.327, 0.500], [0.673, 0.827, 0.500], [0.327, 0.173, 0.500], [0.173, 0.673, 0.500], [0.500, 0.500, 0.000], [0.000, 0.000, 0.000], [0.371, 0.871, 0.000], [0.629, 0.129, 0.000], [0.129, 0.371, 0.000], [0.871, 0.629, 0.000]],
  "dos_at_fermi_per_ev_cell": 3.1,
  "formation_enthalpy_0k_mev_per_atom": -203
}

3.
{
  "formula": "NbAlNi2Mo",
  "functional": "PBE",
  "state": "optimized geometry",
  "cell": [[4.397, 0.000, 0.000], [0.000, 4.650, 0.000], [0.000, 0.000, 4.397]],
  "species": ["Al", "Ni", "Ni", "Nb", "Mo"],
  "fractional_positions": [[0.000, 0.500, 0.000], [0.500, 0.000, 0.000], [0.000, 0.000, 0.500], [0.500, 0.500, 0.500], [0.000, 0.000, 0.000]],
  "dos_at_fermi_per_ev_cell": 4.7,
  "formation_enthalpy_0k_mev_per_atom": 1128
}